First-principles (PBE) data for a relaxed ZnHgTeO6 crystal, as listed in the Alexandria database.

CIF file:
```
data_ZnHgTeO6
_chemical_formula_sum 'Zn2 Hg2 Te2 O12'
_space_group_name_H-M_alt 'P -3 1 c'
_space_group_IT_number 163
_space_group_name_Hall '-P 3 2c'
_cell_length_a 5.3256
_cell_length_b 5.3256
_cell_length_c 9.5323
_cell_angle_alpha 90.00
_cell_angle_beta 90.00
_cell_angle_gamma 120.00
loop_
_atom_site_label
_atom_site_type_symbol
_atom_site_fract_x
_atom_site_fract_y
_atom_site_fract_z
_atom_site_occupancy
Zn1 Zn 0.3333 0.6667 0.2500 1
Hg1 Hg 0.0000 0.0000 0.0000 1
Te1 Te 0.3333 0.6667 0.7500 1
O1 O 0.0147 0.3750 0.6370 1
```

Values from the calculation:
Formation energy (no corrections) ... -0.61 eV per atom
Crystal system ... trigonal
Total magnetization ... 3.39 μB per cell

***

First-principles (PBE) data for a relaxed ZrHgTe2O8 crystal, as listed in the Alexandria database.

CIF file:
```
data_ZrHgTe2O8
_chemical_formula_sum 'Zr2 Hg2 Te4 O16'
_space_group_name_H-M_alt 'C 1 2/m 1'
_space_group_IT_number 12
_cell_length_a 9.3971
_cell_length_b 6.0771
_cell_length_c 7.8251
_cell_angle_alpha 90.00
_cell_angle_beta 114.63
_cell_angle_gamma 90.00
loop_
_space_group_symop_operation_xyz
'x,y,z'
'-x,-y,-z'
'-x,y,-z'
'x,-y,z'
'x+1/2,y+1/2,z'
'-x+1/2,-y+1/2,-z'
'-x+1/2,y+1/2,-z'
'x+1/2,-y+1/2,z'
loop_
_atom_site_label
_atom_site_type_symbol
_atom_site_fract_x
_atom_site_fract_y
_atom_site_fract_z
_atom_site_occupancy
Zr1 Zr 0.0000 0.0000 0.0000 1
Hg1 Hg 0.0000 0.0000 0.5000 1
Te1 Te 0.0526 0.5000 0.7201 1
O1 O 0.0196 0.2560 0.1954 1
O2 O 0.1409 0.5000 0.5293 1
O3 O 0.2415 0.0000 0.0940 1
```

Values from the calculation:
Formation energy (no corrections) ... -1.25 eV per atom
Crystal system ... monoclinic
Total magnetization ... 0.00 μB per cell